Computed, not measured: a geometry-optimized CdGaMoO6 structure at the PBE with a Hubbard U level of DFT.

Computed properties:
* volume: 12.5 Å³/atom
* raw total energy: -52.3 eV per formula unit
* total magnetic moment: 1.03 μB per cell
* space group: No. 149

Lattice parameters (Å, degrees): 5.237 5.237 4.754 90.00 90.00 120.00
Positions (direct):
Cd: 0.000 0.000 0.000
Ga: 0.667 0.333 0.500
Mo: 0.333 0.667 0.500
O: 0.007 0.371 0.277
O: 0.007 0.637 0.723
O: 0.363 0.371 0.723
O: 0.363 0.993 0.277
O: 0.629 0.637 0.277
O: 0.629 0.993 0.723